First-principles (PBE) data for a relaxed structure of Sr4BiTe3, as listed in Alexandria.

```
Sr4BiTe3
1.0
6.7532 0.0000 0.0000
0.0000 6.7532 0.0000
0.0000 0.0000 6.7532
Sr Bi Te
4 1 3
Cartesian
0.0000 0.0000 0.0000
0.0000 3.3766 3.3766
3.3766 0.0000 3.3766
3.3766 3.3766 0.0000
3.3766 3.3766 3.3766
0.0000 0.0000 3.3766
0.0000 3.3766 0.0000
3.3766 0.0000 0.0000
```

DOS(E_F) (states/eV per atom): 0.678
Raw formation energy (eV per atom): -1.422

First-principles (PBE) data for a relaxed structure of CaThIn2, as listed in Alexandria.

```
CaThIn2
1.0
3.6866 0.0000 0.0000
0.0000 3.6866 0.0000
0.0000 0.0000 8.4143
Ca Th In
1 1 2
Cartesian
0.0000 0.0000 0.0000
0.0000 0.0000 4.2072
1.8433 1.8433 2.0460
1.8433 1.8433 6.3684
```

DOS(E_F) (states/eV per atom): 0.541
Formation energy (eV/atom): -0.37

First-principles (PBE) data for a relaxed structure of CrNi2Sb, as listed in Alexandria.

```
CrNi2Sb
1.0
-1.9097 1.9097 3.8275
1.9097 -1.9097 3.8275
1.9097 1.9097 -3.8275
Cr Ni Sb
1 2 1
Cartesian
0.0000 0.0000 0.0000
1.9097 0.0000 1.9138
0.0000 0.0000 3.8275
0.0000 1.9097 1.9138
```

DOS(E_F) (states/eV per atom): 0.787
Raw formation energy (eV per atom): 0.018

First-principles (PBE) data for a relaxed structure of Gd3Bi5Se12, as listed in Alexandria.

```
Gd3Bi5Se12
1.0
-8.6005 8.6005 8.6005
8.6005 -8.6005 8.6005
8.6005 8.6005 -8.6005
Gd Bi Se
12 20 48
Cartesian
4.3002 2.1501 0.0000
8.6005 4.3002 -2.1501
2.1501 0.0000 4.3002
10.7506 0.0000 4.3002
0.0000 4.3002 2.1501
4.3002 -2.1501 8.6005
4.3002 10.7506 0.0000
8.6005 4.3002 6.4504
-2.1501 8.6005 4.3002
6.4504 8.6005 4.3002
0.0000 4.3002 10.7506
4.3002 6.4504 8.6005
0.0000 0.0000 0.0000
4.3002 4.3002 -4.3002
4.3002 -4.3002 4.3002
8.6005 0.0000 0.0000
12.9007 2.1501 0.0000
8.6005 -4.3002 6.4504
6.4504 8.6005 -4.3002
6.4504 0.0000 4.3002
4.3002 6.4504 0.0000
8.6005 4.3002 2.1501
-4.3002 4.3002 4.3002
0.0000 8.6005 0.0000
0.0000 0.0000 8.6005
4.3002 4.3002 4.3002
0.0000 4.3002 6.4504
4.3002 2.1501 8.6005
2.1501 8.6005 4.3002
2.1501 0.0000 12.9007
0.0000 12.9007 2.1501
-4.3002 6.4504 8.6005
2.6585 -0.2411 1.2160
10.2422 5.5162 -4.5413
8.3594 -1.2160 2.6585
13.1418 -1.6417 3.0843
11.2590 0.2411 1.2160
10.2422 -3.0843 4.5413
1.2160 2.6585 -0.2411
11.6848 4.0592 -1.6417
5.5162 4.5413 -1.6417
7.3845 2.6585 0.2411
-0.2411 1.2160 2.6585
4.5413 -1.6417 5.5162
8.3594 7.3845 -2.6585
4.5413 1.6417 3.0843
7.3845 -2.6585 8.3594
5.5162 -4.5413 10.2422
3.0843 4.5413 1.6417
9.8164 5.9419 0.2411
2.6585 8.3594 -1.2160
10.2422 3.0843 4.0592
4.5413 10.2422 -3.0843
8.3594 1.2160 5.9419
1.6417 3.0843 4.5413
2.6585 0.2411 7.3845
5.9419 8.3594 1.2160
6.9588 5.5162 4.0592
0.2411 7.3845 2.6585
4.0592 -1.6417 11.6848
-1.6417 5.5162 4.5413
5.9419 0.2411 9.8164
-1.2160 2.6585 8.3594
5.5162 4.0592 6.9588
3.0843 13.1418 -1.6417
1.2160 11.2590 0.2411
4.0592 6.9588 5.5162
0.2411 1.2160 11.2590
4.0592 10.2422 3.0843
8.8416 7.3845 5.9419
1.2160 5.9419 8.3594
3.0843 4.0592 10.2422
-3.0843 4.5413 10.2422
7.3845 5.9419 8.8416
-1.6417 11.6848 4.0592
-2.6585 8.3594 7.3845
-4.5413 10.2422 5.5162
0.2411 9.8164 5.9419
-1.6417 3.0843 13.1418
5.9419 8.8416 7.3845
```

Raw formation energy (eV per atom): -0.781

First-principles (PBE) data for a relaxed structure of TlAs2SeO, as listed in Alexandria.

```
TlAs2SeO
1.0
4.1517 0.0000 0.0000
0.0000 4.1517 0.0000
0.0000 0.0000 6.9407
Tl As Se O
1 2 1 1
Cartesian
0.0000 0.0000 0.0000
0.0000 2.0758 3.4704
2.0758 0.0000 3.4704
2.0758 2.0758 0.0000
2.0758 2.0758 3.4704
```

DOS(E_F) (states/eV per atom): 0.681
Energy above the most stable polymorph in this dataset (meV per atom): 0
Raw formation energy (eV per atom): 0.217

First-principles (PBE) data for a relaxed structure of BaBeRu2, as listed in Alexandria.

```
BaBeRu2
1.0
-2.3362 2.3362 3.3669
2.3362 -2.3362 3.3669
2.3362 2.3362 -3.3669
Ba Be Ru
1 1 2
Cartesian
0.0000 0.0000 0.0000
2.3362 0.0000 1.6834
0.0000 0.0000 3.3669
0.0000 2.3362 1.6834
```

DOS(E_F) (states/eV per atom): 1.134
Formation energy (eV/atom): 1.08